No. 1
LiHgPO | PBE | relaxed

Calculated values
For the distance to the lowest polymorph of the same formula, the calculation gives 0.0 meV per atom. Its space-group type is Pmc2_1, No. 26. The calculation puts the volume at 15.60 Å³/atom.

Cell lengths 3.6994, 7.3262, 4.6055 Å; angles 90.00, 90.00, 90.00 degrees
Fractional positions:
Li (0.0000, 0.1773, 0.0000)
Li (0.0000, 0.8227, 0.5000)
Hg (0.5000, 0.1988, 0.4969)
Hg (0.5000, 0.8012, 0.9969)
P (0.0000, 0.4481, 0.4904)
P (0.0000, 0.5519, 0.9904)
O (0.5000, 0.1162, 0.9954)
O (0.5000, 0.8838, 0.4954)

---

No. 2
Na2Te3Ir2Se | PBE | relaxed

Calculated values
The value obtained for the total energy is -35.25 eV per formula unit. As for the total magnetization: 0.0 μB/f.u. Its space-group type is C2, No. 5. The calculation puts the volume at 26.93 Å³/atom.

Cell lengths 10.7652, 7.4922, 7.1003 Å; angles 90.00, 131.20, 90.00 degrees
Fractional positions:
Na (0.2404, 0.0000, 0.1298)
Na (0.2596, 0.5000, 0.8702)
Na (0.7404, 0.5000, 0.1298)
Na (0.7596, 0.0000, 0.8702)
Te (0.0000, 0.8519, 0.5000)
Te (0.0833, 0.2723, 0.3300)
Te (0.4167, 0.7723, 0.6700)
Te (0.5000, 0.3519, 0.5000)
Te (0.5833, 0.7723, 0.3300)
Te (0.9167, 0.2723, 0.6700)
Ir (0.2440, 0.5301, 0.3401)
Ir (0.2560, 0.0301, 0.6599)
Ir (0.7440, 0.0301, 0.3401)
Ir (0.7560, 0.5301, 0.6599)
Se (0.0000, 0.6854, 0.0000)
Se (0.5000, 0.1854, 0.0000)

---

No. 3
RbHg5Cl11 | PBE | relaxed

Calculated values
The value obtained for the total energy is -35.76 eV per formula unit. Its space-group type is C2/m, No. 12. The calculation puts the volume at 29.49 Å³/atom.

Cell lengths 9.3407, 9.3407, 6.6453 Å; angles 107.68, 107.68, 100.60 degrees
Fractional positions:
Rb (0.0000, 0.0000, 0.0000)
Hg (0.0170, 0.3518, 0.6853)
Hg (0.3518, 0.0170, 0.6853)
Hg (0.5000, 0.5000, 0.0000)
Hg (0.6482, 0.9830, 0.3147)
Hg (0.9830, 0.6482, 0.3147)
Cl (0.0000, 0.0000, 0.5000)
Cl (0.1395, 0.7013, 0.6972)
Cl (0.1685, 0.4168, 0.0722)
Cl (0.2987, 0.8605, 0.3028)
Cl (0.3523, 0.3523, 0.6113)
Cl (0.4168, 0.1685, 0.0722)
Cl (0.5832, 0.8315, 0.9278)
Cl (0.6477, 0.6477, 0.3887)
Cl (0.7013, 0.1395, 0.6972)
Cl (0.8315, 0.5832, 0.9278)
Cl (0.8605, 0.2987, 0.3028)

---

No. 4
BeFeAs | PBE | relaxed

Calculated values
As for the total magnetization: 1.4 μB/f.u. For the distance to the lowest polymorph of the same formula, the calculation gives 113.2 meV per atom. Its space-group type is F-43m, No. 216. The calculation puts the volume at 13.15 Å³/atom.

Cell lengths 5.4043, 5.4043, 5.4043 Å; angles 90.00, 90.00, 90.00 degrees
Fractional positions:
Be (0.0000, 0.0000, 0.0000)
Be (0.0000, 0.5000, 0.5000)
Be (0.5000, 0.0000, 0.5000)
Be (0.5000, 0.5000, 0.0000)
Fe (0.0000, 0.0000, 0.5000)
Fe (0.0000, 0.5000, 0.0000)
Fe (0.5000, 0.0000, 0.0000)
Fe (0.5000, 0.5000, 0.5000)
As (0.2500, 0.2500, 0.2500)
As (0.2500, 0.7500, 0.7500)
As (0.7500, 0.2500, 0.7500)
As (0.7500, 0.7500, 0.2500)

---

No. 5
HfSc2Si2Ni4Ge2 | PBE | relaxed

Calculated values
As for the total magnetization: 0.0 μB/f.u. For the distance to the lowest polymorph of the same formula, the calculation gives 0.0 meV per atom. Its space-group type is Immm, No. 71. The calculation puts the volume at 14.57 Å³/atom.

Cell lengths 7.4442, 7.4442, 7.4442 Å; angles 150.03, 128.32, 60.90 degrees
Fractional positions:
Hf (0.0000, 0.0000, 0.0000)
Sc (0.3726, 0.8726, 0.5000)
Sc (0.6274, 0.1274, 0.5000)
Si (0.2172, 0.2172, 0.0000)
Si (0.7828, 0.7828, 0.0000)
Ni (0.0156, 0.3192, 0.6964)
Ni (0.3772, 0.6808, 0.6964)
Ni (0.6228, 0.3192, 0.3036)
Ni (0.9844, 0.6808, 0.3036)
Ge (0.2991, 0.5000, 0.7991)
Ge (0.7009, 0.5000, 0.2009)

---

No. 6
TbErPbC | PBE | relaxed

Calculated values
The value obtained for the total energy is -24.11 eV per formula unit. As for the total magnetization: 0.0 μB/f.u. Its space-group type is P-3m1, No. 164. The calculation puts the volume at 22.95 Å³/atom.

Cell lengths 3.6283, 3.6283, 16.1021 Å; angles 90.00, 90.00, 120.00 degrees
Fractional positions:
Tb (0.3333, 0.6667, 0.0836)
Tb (0.6667, 0.3333, 0.9164)
Er (0.3333, 0.6667, 0.4187)
Er (0.6667, 0.3333, 0.5813)
Pb (0.3333, 0.6667, 0.7474)
Pb (0.6667, 0.3333, 0.2526)
C (0.0000, 0.0000, 0.0000)
C (0.0000, 0.0000, 0.5000)

---

No. 7
CuSbWAu | PBE | relaxed

Calculated values
As for the total magnetization: 2.6 μB/f.u. For the distance to the lowest polymorph of the same formula, the calculation gives 336.0 meV per atom. Its space-group type is F-43m, No. 216. The calculation puts the volume at 18.20 Å³/atom.

Cell lengths 6.6285, 6.6285, 6.6285 Å; angles 90.00, 90.00, 90.00 degrees
Fractional positions:
Cu (0.0000, 0.0000, 0.0000)
Cu (0.0000, 0.5000, 0.5000)
Cu (0.5000, 0.0000, 0.5000)
Cu (0.5000, 0.5000, 0.0000)
Sb (0.2500, 0.2500, 0.7500)
Sb (0.2500, 0.7500, 0.2500)
Sb (0.7500, 0.2500, 0.2500)
Sb (0.7500, 0.7500, 0.7500)
W (0.2500, 0.2500, 0.2500)
W (0.2500, 0.7500, 0.7500)
W (0.7500, 0.2500, 0.7500)
W (0.7500, 0.7500, 0.2500)
Au (0.0000, 0.0000, 0.5000)
Au (0.0000, 0.5000, 0.0000)
Au (0.5000, 0.0000, 0.0000)
Au (0.5000, 0.5000, 0.5000)

---

No. 8
Al2TcMo | PBE | relaxed

Calculated values
As for the total magnetization: 0.0 μB/f.u. For the distance to the lowest polymorph of the same formula, the calculation gives 0.0 meV per atom. Its space-group type is P4mm, No. 99. The calculation puts the volume at 14.77 Å³/atom.

Cell lengths 3.1448, 3.1448, 5.9756 Å; angles 90.00, 90.00, 90.00 degrees
Fractional positions:
Al (0.0000, 0.0000, 0.0000)
Al (0.5000, 0.5000, 0.2584)
Tc (0.5000, 0.5000, 0.7636)
Mo (0.0000, 0.0000, 0.5134)

---

- Number 7 is which compound?
  CuSbWAu